[1]
Ti2Pb2Br2O5 | GGA-PBE | optimized geometry

Summary:
**Total energy**: -74.11 eV per formula unit
**Symmetry**: I4/mmm
**Formation energy (no corrections)**: -2.070 eV per atom

a = 14.8690 Å, b = 14.8690 Å, c = 14.8690 Å
α = 165.18°, β = 165.18°, γ = 21.01°
Atoms (fractional coordinates):
Ti 0.0617 0.0617 0.0000
Ti 0.9383 0.9383 0.0000
Pb 0.3624 0.3624 0.0000
Pb 0.6376 0.6376 0.0000
Br 0.1910 0.1910 0.0000
Br 0.8090 0.8090 0.0000
O 0.0000 0.0000 0.0000
O 0.0795 0.5795 0.5000
O 0.4205 0.9205 0.5000
O 0.5795 0.0795 0.5000
O 0.9205 0.4205 0.5000

***

[2]
TlPb2BrO2 | GGA-PBE | optimized geometry

Summary:
**Total energy**: -26.89 eV per formula unit
**Symmetry**: P2_1/m
**Formation energy (no corrections)**: -0.919 eV per atom

a = 7.0261 Å, b = 6.2430 Å, c = 7.9428 Å
α = 90.00°, β = 99.09°, γ = 90.00°
Atoms (fractional coordinates):
Tl 0.1725 0.2500 0.4251
Tl 0.8275 0.7500 0.5749
Pb 0.1083 0.2500 0.8869
Pb 0.3458 0.7500 0.7498
Pb 0.6542 0.2500 0.2502
Pb 0.8917 0.7500 0.1131
Br 0.3490 0.7500 0.1326
Br 0.6510 0.2500 0.8674
O 0.1200 0.5017 0.6971
O 0.1200 0.9983 0.6971
O 0.8800 0.0017 0.3029
O 0.8800 0.4983 0.3029

***

[3]
TlPbBrO | GGA-PBE | optimized geometry

Summary:
**Total energy**: -15.86 eV per formula unit
**Symmetry**: P3m1
**Formation energy (no corrections)**: -0.788 eV per atom

a = 3.9345 Å, b = 3.9345 Å, c = 8.2517 Å
α = 90.00°, β = 90.00°, γ = 120.00°
Atoms (fractional coordinates):
Tl 0.0000 0.0000 0.0000
Pb 0.3333 0.6667 0.4226
Br 0.6667 0.3333 0.7242
O 0.0000 0.0000 0.3090

***

[4]
TlPbBrO2 | GGA-PBE | optimized geometry

Summary:
**Total energy**: -21.93 eV per formula unit
**Symmetry**: P2_1/m
**Formation energy (no corrections)**: -0.853 eV per atom

a = 7.3922 Å, b = 4.2876 Å, c = 8.0944 Å
α = 90.00°, β = 92.47°, γ = 90.00°
Atoms (fractional coordinates):
Tl 0.1065 0.2500 0.1404
Tl 0.8935 0.7500 0.8596
Pb 0.1807 0.2500 0.6151
Pb 0.8193 0.7500 0.3849
Br 0.4538 0.2500 0.2287
Br 0.5462 0.7500 0.7713
O 0.0190 0.2500 0.8733
O 0.0266 0.7500 0.6200
O 0.9734 0.2500 0.3800
O 0.9810 0.7500 0.1267